This record from Alexandria describes BaYRu2 at its PBEsol-relaxed geometry. The functional is SCAN.

Computed properties:
* formation energy from the elements: 0.86 kcal/mol of atoms
* magnetic moment: 3.041 μB/cell
* crystal system: trigonal

a = 4.1549 Å, b = 4.1549 Å, c = 23.0842 Å
α = 90.00°, β = 90.00°, γ = 120.00°
Space group R3m (No. 160, hexagonal axes)
Asymmetric unit:
Ba  0.0000  0.0000  0.0000 [3 per cell]
Y  0.0000  0.0000  0.1786 [3 per cell]
Ru  0.0000  0.0000  0.4288 [3 per cell]
Ru  0.0000  0.0000  0.7781 [3 per cell]